[1]
A relaxed Ba4As crystal. Source: Alexandria via LeMat-Bulk, functional GGA-PBE.

Cell lengths 15.577, 15.867, 9.267 Å; angles 90.00, 90.00, 90.00 degrees
Space group Fdd2 (No. 43)
Asymmetric unit:
Ba  0.120  0.416  0.000 [16 per cell]
Ba  0.125  0.166  0.258 [16 per cell]
As  0.000  0.000  0.256 [8 per cell]

Results
Energy above the lowest structure with this stoichiometry   6.3 meV per atom
Magnetization   6.1 μB/cell
DFT formation energy   -0.463 eV/atom

[2]
A relaxed Pr7HN5 crystal. Source: Alexandria via LeMat-Bulk, functional GGA-PBE.

Cell lengths 3.660, 12.398, 22.491 Å; angles 90.00, 90.00, 90.00 degrees
Space group Cmcm (No. 63)
Asymmetric unit:
Pr  0.000  0.025  0.250 [4 per cell]
Pr  0.000  0.139  0.534 [8 per cell]
Pr  0.000  0.324  0.168 [8 per cell]
Pr  0.000  0.415  0.600 [8 per cell]
H  0.000  0.166  0.750 [4 per cell]
N  0.000  0.055  0.640 [8 per cell]
N  0.000  0.226  0.073 [8 per cell]
N  0.000  0.500  0.000 [4 per cell]

Results
Total energy   -0.519 Ry/atom
Magnetization   4.6 μB/cell

[3]
A relaxed Tb15Pm4Tl crystal. Source: Alexandria via LeMat-Bulk, functional GGA-PBE.

Cell lengths 5.008, 5.008, 25.398 Å; angles 90.00, 90.00, 90.00 degrees
Space group P4/mmm (No. 123)
Asymmetric unit:
Tb  0.000  0.000  0.000 [1 per cell]
Tb  0.000  0.000  0.195 [2 per cell]
Tb  0.000  0.000  0.398 [2 per cell]
Tb  0.000  0.500  0.096 [4 per cell]
Tb  0.000  0.500  0.298 [4 per cell]
Tb  0.000  0.500  0.500 [2 per cell]
Pm  0.500  0.500  0.198 [2 per cell]
Pm  0.500  0.500  0.399 [2 per cell]
Tl  0.500  0.500  0.000 [1 per cell]

Results
Magnetization   0.0 μB/cell
DFT formation energy   -0.017 eV/atom

[4]
A relaxed K3GaSb2 crystal. Source: Alexandria via LeMat-Bulk, functional GGA-PBE.

Cell lengths 18.966, 4.435, 13.318 Å; angles 90.00, 115.95, 90.00 degrees
Space group C2/m (No. 12)
Asymmetric unit:
K  0.040  0.000  0.233 [4 per cell]
K  0.157  0.500  0.001 [4 per cell]
K  0.232  0.000  0.613 [4 per cell]
Ga  0.077  0.500  0.652 [4 per cell]
Sb  0.087  0.500  0.451 [4 per cell]
Sb  0.145  0.000  0.786 [4 per cell]

Results
Formation energy (no corrections)   -0.274 eV/atom
Magnetization   0.0 μB/cell

[5]
A relaxed ZnSnGe crystal. Source: Alexandria via LeMat-Bulk, functional GGA-PBE.

Cell lengths 6.480, 6.480, 6.480 Å; angles 90.00, 90.00, 90.00 degrees
Space group F-43m (No. 216)
Asymmetric unit:
Zn  0.000  0.000  0.000 [4 per cell]
Sn  0.250  0.250  0.750 [4 per cell]
Ge  0.250  0.250  0.250 [4 per cell]

Results
Energy above the lowest structure with this stoichiometry   3.3 meV per atom
Magnetization   0.0 μB/cell
DFT formation energy   0.145 eV/atom